[1]
CsNa2CrSe4: optimized geometry, GGA-PBE.

The structure in POSCAR format:
```
CsNa2CrSe4
1.0
-3.7724 3.7724 4.5619
3.7724 -3.7724 4.5619
3.7724 3.7724 -4.5619
Cs Na Cr Se
1 2 1 4
Direct
0.0000 0.0000 0.0000
0.2500 0.7500 0.5000
0.7500 0.2500 0.5000
0.5000 0.5000 0.0000
0.1826 0.5312 0.0000
0.4688 0.4688 0.6513
0.5312 0.1826 0.0000
0.8174 0.8174 0.3487
```

Calculated values
formation energy (no corrections)	-0.792	eV per atom



[2]
CsNaCr2Si: optimized geometry, GGA-PBE.

The structure in POSCAR format:
```
CsNaCr2Si
1.0
5.6251 0.0000 0.0000
0.0000 5.6251 0.0000
0.0000 0.0000 5.2880
Cs Na Cr Si
1 1 2 1
Direct
0.0000 0.0000 0.0000
0.5000 0.5000 0.5000
0.0000 0.5000 0.5000
0.5000 0.0000 0.5000
0.5000 0.5000 0.0000
```

Calculated values
formation energy (no corrections)	1.432	eV per atom



[3]
CsNbCr3: optimized geometry, GGA-PBE.

The structure in POSCAR format:
```
CsNbCr3
1.0
4.8984 0.0000 0.0000
0.0000 4.8984 0.0000
0.0000 0.0000 4.8984
Cs Nb Cr
1 1 3
Direct
0.0000 0.0000 0.0000
0.5000 0.5000 0.5000
0.0000 0.0000 0.5000
0.0000 0.5000 0.0000
0.5000 0.0000 0.0000
```

Calculated values
ΔH_f (0 K)	2.80	eV per atom



| no. | energy (eV per cell) |
| --- | --- |
| 1 | -33.39 |
| 2 | -19.68 |
| 3 | -25.79 |